(1)
# AcHoGaHg (GGA-PBE, optimized geometry)
# Total magnetic moment, μB/atom: 0.0001
# V, Å³ per atom: 28.329
# Formation enthalpy at 0 K, eV/atom: -0.427
# D(E_F), states/eV/f.u.: 4.84
data_AcHoGaHg
_space_group_name_H-M_alt 'F -4 3 m'
_space_group_IT_number 216
_space_group_name_Hall 'F -4 2 3'
_cell_length_a 7.682
_cell_length_b 7.682
_cell_length_c 7.682
_cell_angle_alpha 90.00
_cell_angle_beta 90.00
_cell_angle_gamma 90.00
loop_
_atom_site_label
_atom_site_fract_x
_atom_site_fract_y
_atom_site_fract_z
Ac1 0.000 0.000 0.000
Ho1 0.000 0.000 0.500
Ga1 0.250 0.250 0.750
Hg1 0.250 0.250 0.250



(2)
# NaTbHg2 (GGA-PBE, optimized geometry)
# Total magnetic moment, μB/atom: 0.0000
# V, Å³ per atom: 27.985
# Formation enthalpy at 0 K, eV/atom: -0.222
# D(E_F), states/eV/f.u.: 2.06
data_NaTbHg2
_space_group_name_H-M_alt 'R -3 m'
_space_group_IT_number 166
_space_group_name_Hall '-R 3 2"'
_cell_length_a 3.7175
_cell_length_b 3.7175
_cell_length_c 28.0588
_cell_angle_alpha 90.00
_cell_angle_beta 90.00
_cell_angle_gamma 120.00
loop_
_atom_site_label
_atom_site_fract_x
_atom_site_fract_y
_atom_site_fract_z
Na1 0.0000 0.0000 0.0000
Tb1 0.0000 0.0000 0.5000
Hg1 0.0000 0.0000 0.2481



(3)
# Li3La (GGA-PBE, optimized geometry)
# Total magnetic moment, μB/atom: 0.5500
# V, Å³ per atom: 27.441
# Formation enthalpy at 0 K, eV/atom: 0.275
# D(E_F), states/eV/f.u.: 3.47
data_Li3La
_space_group_name_H-M_alt 'P m -3 m'
_space_group_IT_number 221
_space_group_name_Hall '-P 4 2 3'
_cell_length_a 4.788
_cell_length_b 4.788
_cell_length_c 4.788
_cell_angle_alpha 90.00
_cell_angle_beta 90.00
_cell_angle_gamma 90.00
loop_
_atom_site_label
_atom_site_fract_x
_atom_site_fract_y
_atom_site_fract_z
Li1 0.000 0.000 0.500
La1 0.500 0.500 0.500



(4)
# AcCeCdGa (GGA-PBE, optimized geometry)
# Total magnetic moment, μB/atom: 0.3450
# V, Å³ per atom: 29.265
# Formation enthalpy at 0 K, eV/atom: -0.275
# D(E_F), states/eV/f.u.: 10.90
data_AcCeCdGa
_space_group_name_H-M_alt 'F -4 3 m'
_space_group_IT_number 216
_space_group_name_Hall 'F -4 2 3'
_cell_length_a 7.765
_cell_length_b 7.765
_cell_length_c 7.765
_cell_angle_alpha 90.00
_cell_angle_beta 90.00
_cell_angle_gamma 90.00
loop_
_atom_site_label
_atom_site_fract_x
_atom_site_fract_y
_atom_site_fract_z
Ac1 0.000 0.000 0.000
Ce1 0.000 0.000 0.500
Cd1 0.250 0.250 0.750
Ga1 0.250 0.250 0.250



(5)
# Ti2Cu3Pd4 (GGA-PBE, optimized geometry)
# Total magnetic moment, μB/atom: 0.0000
# V, Å³ per atom: 14.715
# Formation enthalpy at 0 K, eV/atom: -0.274
# D(E_F), states/eV/f.u.: 6.75
data_Ti2Cu3Pd4
_space_group_name_H-M_alt 'C 1 2/c 1'
_space_group_IT_number 15
_cell_length_a 11.085
_cell_length_b 9.918
_cell_length_c 4.975
_cell_angle_alpha 90.00
_cell_angle_beta 104.44
_cell_angle_gamma 90.00
loop_
_space_group_symop_operation_xyz
'x,y,z'
'-x,-y,-z'
'-x,y,-z+1/2'
'x,-y,z+1/2'
'x+1/2,y+1/2,z'
'-x+1/2,-y+1/2,-z'
'-x+1/2,y+1/2,-z+1/2'
'x+1/2,-y+1/2,z+1/2'
loop_
_atom_site_label
_atom_site_fract_x
_atom_site_fract_y
_atom_site_fract_z
Ti1 0.218 0.096 0.109
Cu1 0.000 0.009 0.750
Cu2 0.102 0.448 0.444
Pd1 0.078 0.289 0.014
Pd2 0.167 0.167 0.583



(6)
# Tb2DyGe2Pt7 (GGA-PBE, optimized geometry)
# Total magnetic moment, μB/atom: 0.0000
# V, Å³ per atom: 19.110
# Formation enthalpy at 0 K, eV/atom: -0.994
# D(E_F), states/eV/f.u.: 5.01
data_Tb2DyGe2Pt7
_space_group_name_H-M_alt 'C 1 2/m 1'
_space_group_IT_number 12
_cell_length_a 5.774
_cell_length_b 5.715
_cell_length_c 14.081
_cell_angle_alpha 90.00
_cell_angle_beta 99.22
_cell_angle_gamma 90.00
loop_
_space_group_symop_operation_xyz
'x,y,z'
'-x,-y,-z'
'-x,y,-z'
'x,-y,z'
'x+1/2,y+1/2,z'
'-x+1/2,-y+1/2,-z'
'-x+1/2,y+1/2,-z'
'x+1/2,-y+1/2,z'
loop_
_atom_site_label
_atom_site_fract_x
_atom_site_fract_y
_atom_site_fract_z
Tb1 0.124 0.000 0.358
Dy1 0.000 0.000 0.000
Ge1 0.102 0.500 0.258
Pt1 0.000 0.500 0.000
Pt2 0.137 0.500 0.432
Pt3 0.189 0.250 0.845



Number 1: uncorrected energy -54.90 eV for the cell shown. Number 2: uncorrected energy -22.32 eV for the cell shown. Number 3: uncorrected energy -9.57 eV for the cell shown. Number 4: uncorrected energy -60.34 eV for the cell shown. Number 5: uncorrected energy -205.27 eV for the cell shown. Number 6: uncorrected energy -154.62 eV for the cell shown.